# 1
VASP calculation (PBE) on a relaxed NaLi2Si2Ag2 crystal.

The structure in POSCAR format:
```
NaLi2Si2Ag2
1.0
4.4618 0.0000 0.0000
-2.2309 3.8248 -0.3296
0.0000 -1.9638 7.5125
Ag Li Si Na
2 2 2 1
Cartesian
0.0000 0.4558 5.4866
2.2309 1.4052 1.6963
0.0000 0.2263 2.9428
2.2309 1.6347 4.2401
2.2309 -0.8667 5.0036
0.0000 2.7277 2.1793
0.0000 0.0000 0.0000
```

Calculated values
- Space group: C2/m (12)

---

# 2
VASP calculation (PBE) on a relaxed ReCN2 crystal.

The structure in POSCAR format:
```
ReCN2
1.0
1.6446 0.0000 5.3780
-0.8223 1.4243 5.3780
-0.8223 -1.4243 5.3780
N Re C
2 1 1
Cartesian
0.0000 0.0000 14.8756
0.0000 0.0000 1.2584
0.0000 0.0000 8.0670
0.0000 0.0000 0.0000
```

Calculated values
- Space group: R-3m (166)

---

# 3
VASP calculation (PBE) on a relaxed LiAc2PtAu crystal.

The structure in POSCAR format:
```
LiAc2PtAu
1.0
-3.0597 1.8065 -2.7068
-4.7689 -7.0602 0.6787
-1.7284 5.3085 5.4965
Au Ac Li Pt
2 4 2 2
Cartesian
-5.1127 2.4850 1.9094
-4.4442 -2.4302 1.5590
-7.5805 -1.4465 2.0751
-1.9764 1.5013 1.3933
-5.7794 -3.4486 -1.2970
-3.7776 3.5033 4.7654
-4.9891 0.1013 0.1789
-4.5679 -0.0466 3.2895
-6.5484 -0.9755 4.9083
-3.0085 1.0303 -1.4399
```

Calculated values
- Formation energy from the elements: -0.783 eV/atom
- Space group: P2_1/m (11)

---

# 4
VASP calculation (PBE) on a relaxed MnReIrAu2 crystal.

The structure in POSCAR format:
```
MnReIrAu2
1.0
-2.2989 3.9027 -2.2602
-2.2417 -2.9540 -2.8205
-3.7957 -0.3042 3.3354
Mn Ir Au Re
1 1 2 1
Cartesian
-4.1682 0.3222 -0.8727
0.0000 0.0000 0.0000
-1.1495 1.9513 -1.1301
-1.8978 -0.1521 1.6677
-1.1209 -1.4770 -1.4103
```

Calculated values
- Formation energy from the elements: 1.483 eV/atom
- Space group: P4/mmm (123)

---

# 5
VASP calculation (PBE) on a relaxed Fe3GeH crystal.

The structure in POSCAR format:
```
Fe3GeH
1.0
4.5469 0.0000 0.0000
0.0000 4.5469 0.0000
0.0000 0.0000 4.5469
Fe Ge H
3 1 1
Cartesian
2.2735 0.0000 0.0000
0.0000 0.0000 2.2735
0.0000 2.2735 0.0000
0.0000 0.0000 0.0000
2.2735 2.2735 2.2735
```

Calculated values
- E above lowest polymorph: 1.577 eV per atom
- Space group: Pm-3m (221)

---

# 6
VASP calculation (PBE) on a relaxed YHoSnRu crystal.

The structure in POSCAR format:
```
YHoSnRu
1.0
-2.7344 -3.3514 2.6342
-2.4103 -3.7495 -2.4041
1.6237 -4.7728 0.4816
Ru Sn Ho Y
1 1 1 1
Cartesian
-2.6408 -8.9052 0.5338
-0.8803 -2.9684 0.1779
-1.7605 -5.9368 0.3559
0.0000 0.0000 0.0000
```

Calculated values
- Formation energy from the elements: -0.424 eV/atom
- Space group: F-43m (216)

---

# 7
VASP calculation (PBE) on a relaxed RbHgPAu2 crystal.

The structure in POSCAR format:
```
RbHgPAu2
1.0
-4.7538 -1.0658 -2.3061
-1.5547 -2.2947 4.2653
-1.9340 4.6909 1.8187
Rb Au P Hg
1 2 1 1
Cartesian
-4.1212 0.6652 1.8890
-0.9670 2.3454 0.9093
-2.3769 -0.5329 -1.1530
-0.7773 -1.1473 2.1327
0.0000 0.0000 0.0000
```

Calculated values
- E above lowest polymorph: 0.412 eV per atom
- Formation energy from the elements: 0.325 eV/atom
- Space group: P4/mmm (123)

---

# 8
VASP calculation (PBE) on a relaxed La2TbDy3 crystal.

The structure in POSCAR format:
```
La2TbDy3
1.0
6.1481 -0.4762 1.1478
-2.4906 10.5628 0.4948
-0.1481 -0.9176 6.1726
La Dy Tb
4 6 2
Cartesian
3.7323 5.6107 5.1729
-0.2229 3.5584 2.6424
1.5333 8.1394 6.5500
1.9761 1.0296 1.2653
3.1972 4.4007 1.7951
2.5071 2.2410 4.6385
0.3122 4.7683 6.0202
4.7016 -0.2922 3.2590
-1.1922 9.4612 4.5563
1.0023 6.9280 3.1768
-1.7381 8.2176 1.2271
5.2475 0.9514 6.5882
```

Calculated values
- E above lowest polymorph: 0.000 eV per atom
- Formation energy from the elements: 0.027 eV/atom
- Space group: P-1 (2)

---

# 9
VASP calculation (PBE) on a relaxed RbVCd2 crystal.

The structure in POSCAR format:
```
RbVCd2
1.0
0.0000 3.8658 3.8658
3.8658 0.0000 3.8658
3.8658 3.8658 0.0000
V Rb Cd
1 1 2
Cartesian
0.0000 0.0000 0.0000
3.8658 3.8658 3.8658
5.7987 5.7987 5.7987
1.9329 1.9329 1.9329
```

Calculated values
- E above lowest polymorph: 0.029 eV per atom
- Formation energy from the elements: 0.698 eV/atom
- Space group: Fm-3m (225)

---

# 10
VASP calculation (PBE) on a relaxed Pm3Al5S12 crystal.

The structure in POSCAR format:
```
Pm3Al5S12
1.0
-9.6823 7.9657 -3.6344
0.0620 -10.5580 -7.6767
-1.7923 -3.6498 12.4046
S Pm Al
48 12 20
Cartesian
-7.5998 1.1063 3.2303
-9.9331 2.6517 -2.7959
-7.1013 -1.2201 -4.8474
-5.2971 1.6029 -2.0070
-6.3441 -6.1276 -3.8364
-3.8128 -7.3485 -2.1368
-1.4796 -8.8938 3.8894
-8.4336 -4.1866 -6.3404
-6.4408 -3.3277 -1.7611
-3.8170 -4.4792 -0.1562
-4.5219 1.7920 2.3121
-1.2906 -3.7679 -2.4679
-9.3622 2.1681 0.4020
-2.0505 -8.4103 0.6915
-6.8395 -5.2464 0.8745
-1.1821 -1.9429 0.8580
-7.5957 -1.7629 1.2497
-5.0564 -10.1474 1.0115
-4.7091 -3.7217 -5.7783
-6.7035 -2.5205 6.8718
-6.3562 3.9052 0.0820
-7.9513 -3.1295 -9.6276
-3.0542 -6.1894 2.8930
-9.6798 -3.3721 -3.0800
-6.8907 -8.0341 -1.2186
-4.5538 -10.5010 4.2378
-3.4613 -3.1126 10.7211
-10.3613 3.1115 6.9763
-9.3238 -0.4006 5.9800
-1.7040 -7.0935 6.9736
-9.9586 4.0507 3.6429
-1.7328 -2.8700 4.1735
-10.1220 -2.4743 3.5614
-5.0685 -0.1146 4.9299
-4.3113 -5.0221 5.9409
-1.0513 -9.3536 -5.8828
-1.4540 -10.2929 -2.5494
-2.9790 -2.0556 7.4339
-3.8183 -1.5786 -3.4544
-4.9718 -2.9144 2.8546
-8.3584 -0.0528 -1.7995
-9.7087 0.8513 -5.8801
-2.0888 -5.8415 -4.8865
-6.8588 4.2589 -3.1443
-10.2305 -4.2993 0.2355
-4.5731 -0.9958 0.2190
-6.1155 -7.8450 3.1006
-7.5943 -4.6635 4.5480
-4.7046 -7.2125 0.6324
-6.7081 0.9704 0.4611
-3.9501 -7.8010 5.1475
-8.6495 -1.4047 -7.3870
-3.0849 -0.6970 2.7835
-4.0402 -4.5241 -3.0597
-2.5003 -10.9800 2.1320
-2.7631 -4.8374 8.4806
-8.3277 -5.5451 -1.6900
-7.3724 -1.7181 4.1532
-8.9123 4.7378 -1.0385
-7.4625 1.5588 -4.0540
-4.8101 -1.2961 -5.6555
-3.8394 -0.1086 -1.7315
-1.6351 -3.8760 -0.2319
-9.7775 -2.3661 1.3254
-0.8962 -1.8249 6.2023
-2.5904 -7.7031 -6.0752
0.0000 0.0000 0.0000
0.0310 -5.2790 -3.8384
-5.7373 2.1579 4.3851
-0.8652 -7.1039 2.3639
-9.5767 2.0494 2.6536
-8.8223 1.4609 7.1687
-6.4453 -5.1722 -5.8875
-7.5732 -6.1336 2.8250
-5.7063 -3.1211 0.5468
-7.8951 -1.9932 -2.8720
-4.9674 -1.0700 6.9810
-3.5175 -4.2490 3.9655
-1.8359 -8.2915 -1.5601
-4.8411 3.9829 -1.8172
```

Calculated values
- Space group: Ia-3d (230)

---

# 11
VASP calculation (PBE) on a relaxed RuS2NF crystal.

The structure in POSCAR format:
```
RuS2NF
1.0
-2.6192 -3.8773 0.4040
-0.0615 -0.4456 -4.6749
3.0454 -2.0411 0.1545
F Ru S N
1 1 2 1
Cartesian
0.1823 -3.1820 -2.0582
0.0000 0.0000 0.0000
-1.3096 -1.9387 0.2020
-0.0308 -0.2228 -2.3375
1.5227 -1.0206 0.0772
```

Calculated values
- E above lowest polymorph: 0.000 eV per atom
- Space group: P4/mmm (123)

---

# 12
VASP calculation (PBE) on a relaxed PuPtPb2O6 crystal.

The structure in POSCAR format:
```
PuPtPb2O6
1.0
-0.5089 2.1985 -4.5688
5.3285 -1.7495 -1.4354
-3.8091 -9.6515 -2.3764
O Pb Pt Pu
12 4 2 2
Cartesian
2.6053 -7.2891 -4.7800
-0.2835 -4.0115 -2.3357
-1.5948 -1.9134 -3.6005
0.2237 -8.6113 -6.5271
-2.5957 -7.6877 -5.7670
3.6062 -1.5148 -2.6136
-0.5863 -8.7113 -3.2205
-1.2160 -4.3690 -5.3682
1.2940 -5.1910 -6.0449
2.2264 -4.8335 -3.0124
0.7868 -0.5912 -1.8535
1.5968 -0.4912 -5.1601
1.3594 -2.4877 -3.5768
-3.4553 -5.3423 -6.3341
-0.3489 -6.7148 -4.8037
4.4658 -3.8602 -2.0465
0.7597 -5.7005 -1.9059
-0.2544 1.0993 -2.2844
-2.1590 -3.7265 -3.4726
2.6642 -0.8748 -0.7177
```

Calculated values
- Space group: C2/m (12)

---

# 13
VASP calculation (PBE) on a relaxed NdPu3P4 crystal.

The structure in POSCAR format:
```
NdPu3P4
1.0
5.7157 0.0000 0.0000
0.0000 5.7157 0.0000
0.0000 0.0000 5.7157
P Pu Nd
4 3 1
Cartesian
2.8579 0.0000 0.0000
0.0000 2.8579 0.0000
2.8579 2.8579 2.8579
0.0000 0.0000 2.8579
0.0000 2.8579 2.8579
2.8579 0.0000 2.8579
2.8579 2.8579 0.0000
0.0000 0.0000 0.0000
```

Calculated values
- Formation energy from the elements: -1.225 eV/atom
- Space group: Pm-3m (221)

---

# 14
VASP calculation (PBE) on a relaxed CeY5S6 crystal.

The structure in POSCAR format:
```
CeY5S6
1.0
6.7363 0.1708 1.0269
1.6625 5.7089 3.3293
0.1163 0.0562 6.8199
S Y Ce
6 5 1
Cartesian
6.2726 4.3877 3.2516
2.1262 1.4920 1.1047
5.2115 0.6288 3.3516
3.3037 5.3071 7.8245
2.7044 3.3608 4.4868
5.8107 2.5752 6.6893
4.7921 4.8604 5.5634
0.5922 1.9188 3.3886
3.7231 1.0756 5.6128
4.1994 2.9399 2.1781
1.1867 3.8464 6.7607
0.0000 0.0000 0.0000
```

Calculated values
- Space group: C2/m (12)

---

# 15
VASP calculation (PBE) on a relaxed YWSN2 crystal.

The structure in POSCAR format:
```
YWSN2
1.0
3.9701 0.0000 0.0000
0.0000 3.9701 0.0000
0.0000 0.0000 4.8078
W S Y N
1 1 1 2
Cartesian
0.0000 0.0000 0.0000
0.0000 0.0000 2.4039
1.9851 1.9851 2.4039
1.9851 0.0000 0.0000
0.0000 1.9851 0.0000
```

Calculated values
- E above lowest polymorph: 0.000 eV per atom
- Space group: P4/mmm (123)

---

# 16
VASP calculation (PBE) on a relaxed Y3InTc crystal.

The structure in POSCAR format:
```
Y3InTc
1.0
-5.6103 0.3234 -0.0707
-0.2447 -3.2413 4.5847
0.2231 4.5798 3.2498
Tc Y In
1 3 1
Cartesian
-2.8159 0.8310 3.8818
0.1115 2.2899 1.6249
-2.8051 0.1617 -0.0354
-0.1223 -1.6207 2.2923
0.0000 0.0000 0.0000
```

Calculated values
- Formation energy from the elements: 1.088 eV/atom
- Space group: Pm-3m (221)

---

# 17
VASP calculation (PBE) on a relaxed MgCr4Se8 crystal.

The structure in POSCAR format:
```
MgCr4Se8
1.0
6.4175 0.0000 3.7052
2.1392 6.0505 3.7052
0.0000 0.0000 7.4103
Cr Mg Se
4 1 8
Cartesian
6.5530 2.2210 7.4103
4.2784 5.4379 7.4103
3.1410 2.2210 5.4404
3.1410 2.2210 9.3803
6.4175 4.5379 11.1155
1.1052 0.7815 5.4960
5.2294 3.6978 5.7630
2.3762 3.6978 7.4103
4.2071 0.7815 3.7052
2.1392 3.7060 3.7052
1.1052 0.7815 1.9143
4.2784 1.0077 7.4103
5.2294 3.6978 9.0577
```

Calculated values
- Space group: F-43m (216)

---

# 18
VASP calculation (PBE) on a relaxed Ce3YTh3Se8 crystal.

The structure in POSCAR format:
```
Ce3YTh3Se8
1.0
8.3525 0.0000 0.0000
-4.1763 7.2320 -0.0250
0.0000 -4.7983 6.8454
Se Y Ce Th
8 1 3 3
Cartesian
2.0833 -3.5958 5.1357
4.1762 2.4202 1.6959
0.0000 0.0135 5.1245
4.1763 0.0170 5.1433
6.2692 -3.5958 5.1357
2.0929 6.0295 1.6848
0.0000 2.4167 1.6771
-2.0929 6.0295 1.6848
0.0000 -2.3992 3.4227
2.0881 3.6160 -0.0125
-2.0881 3.6160 -0.0125
0.0000 0.0000 0.0000
-2.0881 1.2168 3.4102
2.0881 1.2168 3.4102
4.1763 -2.3992 3.4227
```

Calculated values
- Space group: R-3m (166)

---

# 19
VASP calculation (PBE) on a relaxed LiCd2Cl crystal.

The structure in POSCAR format:
```
LiCd2Cl
1.0
-3.0191 -0.2406 1.4169
0.9637 -2.7846 1.5805
3.0184 5.1956 7.3136
Cl Li Cd
1 1 2
Cartesian
1.9108 3.2890 4.6298
0.8498 1.7193 6.0480
0.0237 0.0408 0.0574
-0.3121 -0.2808 3.2325
```

Calculated values
- E above lowest polymorph: 0.001 eV per atom
- Space group: P4mm (99)

---

# 20
VASP calculation (PBE) on a relaxed Pd2PtAu crystal.

The structure in POSCAR format:
```
Pd2PtAu
1.0
3.9528 0.0000 0.0000
0.0000 4.0318 0.0000
0.0000 0.0000 4.0318
Pd Pt Au
2 1 1
Cartesian
0.0000 2.0159 0.0000
0.0000 0.0000 2.0159
1.9764 0.0000 0.0000
1.9764 2.0159 2.0159
```

Calculated values
- E above lowest polymorph: 0.021 eV per atom
- Formation energy from the elements: -0.020 eV/atom
- Space group: P4/mmm (123)

---

# 21
VASP calculation (PBE) on a relaxed AcGdAgPd crystal.

The structure in POSCAR format:
```
AcGdAgPd
1.0
-0.2945 -5.1383 1.3026
4.3515 -3.0364 -0.1746
2.2141 -1.7274 4.5055
Gd Ag Pd Ac
1 1 1 1
Cartesian
0.0000 0.0000 0.0000
1.5678 -2.4755 1.4084
4.7034 -7.4266 4.2251
3.1356 -4.9511 2.8167
```

Calculated values
- Formation energy from the elements: -0.474 eV/atom
- Space group: F-43m (216)

---

Number 1: E_tot -22.54 eV per cell, Fermi-level density of states 0.251 states/eV/atom. Number 2: E_tot -36.07 eV per cell, Fermi-level density of states 0.326 states/eV/atom. Number 3: E_tot -46.73 eV per cell, Fermi-level density of states 0.650 states/eV/atom. Number 4: E_tot -29.62 eV per cell, Fermi-level density of states 0.801 states/eV/atom. Number 5: E_tot -25.73 eV per cell, Fermi-level density of states 1.151 states/eV/atom. Number 6: E_tot -26.02 eV per cell, Fermi-level density of states 0.613 states/eV/atom. Number 7: E_tot -11.61 eV per cell, Fermi-level density of states 0.478 states/eV/atom. Number 8: E_tot -56.25 eV per cell, Fermi-level density of states 1.475 states/eV/atom. Number 9: E_tot -9.12 eV per cell, Fermi-level density of states 0.831 states/eV/atom. Number 10: E_tot -447.13 eV per cell, Fermi-level density of states 0.000 states/eV/atom. Number 11: E_tot -24.87 eV per cell, Fermi-level density of states 1.361 states/eV/atom. Number 12: E_tot -146.34 eV per cell, Fermi-level density of states 0.087 states/eV/atom. Number 13: E_tot -79.21 eV per cell, Fermi-level density of states 3.363 states/eV/atom. Number 14: E_tot -87.12 eV per cell, Fermi-level density of states 0.755 states/eV/atom. Number 15: E_tot -43.24 eV per cell, Fermi-level density of states 0.428 states/eV/atom. Number 16: E_tot -27.06 eV per cell, Fermi-level density of states 1.841 states/eV/atom. Number 17: E_tot -75.69 eV per cell, Fermi-level density of states 0.270 states/eV/atom. Number 18: E_tot -100.52 eV per cell, Fermi-level density of states 1.442 states/eV/atom. Number 19: E_tot -8.32 eV per cell, Fermi-level density of states 0.303 states/eV/atom. Number 20: E_tot -19.78 eV per cell, Fermi-level density of states 1.134 states/eV/atom. Number 21: E_tot -28.13 eV per cell, Fermi-level density of states 1.016 states/eV/atom.